Model one:
A plane-wave DFT calculation with PBE-GGA was carried out for a relaxed Sm3YAl2 crystal.

The structure belongs to space group Cmmm (No. 65); the cell edges are 4.917, 15.158 and 4.420 Å and the angles 90.00°, 90.00° and 90.00°. Symmetry generates all atoms from Sm at (0.000, 0.000, 0.000), Sm at (0.000, 0.324, 0.000), Y at (0.000, 0.500, 0.500) and Al at (0.000, 0.154, 0.500).

The calculation puts the mass density at 5.99 g/cm³. The density of states at the Fermi level comes out at 13.1 states/eV/cell.



Model two:
A plane-wave DFT calculation with PBE-GGA was carried out for a relaxed Sm3YAl2 crystal.

The structure belongs to space group Pmc2_1 (No. 26); the cell edges are 5.181, 9.655 and 6.658 Å and the angles 90.00°, 90.00° and 90.00°. Symmetry generates all atoms from Sm at (0.000, 0.042, 0.000), Sm at (0.000, 0.327, 0.337), Sm at (0.500, 0.177, 0.716), Y at (0.500, 0.456, 0.051), Al at (0.000, 0.353, 0.820) and Al at (0.500, 0.149, 0.234).

The calculation puts the mass density at 5.92 g/cm³. The density of states at the Fermi level comes out at 10.7 states/eV/cell.



Short version: model two is the most stable of them.



Model one:
A plane-wave DFT calculation with PBE-GGA was carried out for a relaxed Sm2YAl crystal.

The structure belongs to space group Fm-3m (No. 225); the cell edges are 7.677, 7.677 and 7.677 Å and the angles 90.00°, 90.00° and 90.00°. Symmetry generates all atoms from Sm at (0.250, 0.250, 0.250), Y at (0.000, 0.000, 0.000) and Al at (0.000, 0.000, 0.500).

The calculation puts the mass density at 6.12 g/cm³. The density of states at the Fermi level comes out at 27.4 states/eV/cell.



Model two:
A plane-wave DFT calculation with PBE-GGA was carried out for a relaxed Sm2YAl crystal.

The structure belongs to space group Amm2 (No. 38); the cell edges are 5.331, 6.973 and 12.072 Å and the angles 90.00°, 90.00° and 90.00°. Symmetry generates all atoms from Sm at (0.000, 0.000, 0.000), Sm at (0.000, 0.235, 0.767), Sm at (0.500, 0.000, 0.354), Y at (0.500, 0.236, 0.589), Al at (0.000, 0.000, 0.513) and Al at (0.500, 0.000, 0.844).

The calculation puts the mass density at 6.17 g/cm³. The density of states at the Fermi level comes out at 16.0 states/eV/cell.



Short version: model two is the most stable of them.



Model one:
A plane-wave DFT calculation with PBE-GGA was carried out for a relaxed SmY2Al2 crystal.

The structure belongs to space group Cmcm (No. 63); the cell edges are 6.277, 16.157 and 5.521 Å and the angles 90.00°, 90.00° and 90.00°. Symmetry generates all atoms from Sm at (0.000, 0.000, 0.000), Y at (0.000, 0.199, 0.250), Y at (0.000, 0.412, 0.750) and Al at (0.230, 0.365, 0.250).

The calculation puts the mass density at 4.53 g/cm³. The density of states at the Fermi level comes out at 18.3 states/eV/cell.



Model two:
A plane-wave DFT calculation with PBE-GGA was carried out for a relaxed SmY2Al2 crystal.

The structure belongs to space group P4/mbm (No. 127); the cell edges are 7.875, 7.875 and 4.374 Å and the angles 90.00°, 90.00° and 90.00°. Symmetry generates all atoms from Sm at (0.000, 0.000, 0.000), Y at (0.175, 0.325, 0.500) and Al at (0.118, 0.618, 0.000).

The calculation puts the mass density at 4.68 g/cm³. The density of states at the Fermi level comes out at 12.3 states/eV/cell.



Short version: model two is the most stable of them.



Model one:
A plane-wave DFT calculation with PBE-GGA was carried out for a relaxed Sm4YAl crystal.

The structure belongs to space group C2/c (No. 15); the cell edges are 8.874, 14.028 and 6.350 Å and the angles 90.00°, 109.05° and 90.00°. Symmetry generates all atoms from Sm at (0.099, 0.184, 0.045), Sm at (0.220, 0.383, 0.376), Y at (0.000, 0.411, 0.750) and Al at (0.000, 0.000, 0.250).

The calculation puts the mass density at 6.38 g/cm³. The density of states at the Fermi level comes out at 32.0 states/eV/cell.



Model two:
A plane-wave DFT calculation with PBE-GGA was carried out for a relaxed Sm4YAl crystal.

The structure belongs to space group P4/mmm (No. 123); the cell edges are 3.585, 3.585 and 14.349 Å and the angles 90.00°, 90.00° and 90.00°. Symmetry generates all atoms from Sm at (0.000, 0.000, 0.136), Sm at (0.500, 0.500, 0.320), Y at (0.000, 0.000, 0.500) and Al at (0.500, 0.500, 0.000).

The calculation puts the mass density at 6.46 g/cm³. The density of states at the Fermi level comes out at 6.8 states/eV/cell.



Short version: model two is the most stable of them.



Model one:
A plane-wave DFT calculation with PBE-GGA was carried out for a relaxed SmY4Al crystal.

The structure belongs to space group P4/mmm (No. 123); the cell edges are 3.572, 3.572 and 14.056 Å and the angles 90.00°, 90.00° and 90.00°. Symmetry generates all atoms from Sm at (0.000, 0.000, 0.000), Y at (0.000, 0.000, 0.367), Y at (0.500, 0.500, 0.181) and Al at (0.500, 0.500, 0.500).

The calculation puts the mass density at 4.94 g/cm³. The density of states at the Fermi level comes out at 6.9 states/eV/cell.



Model two:
A plane-wave DFT calculation with PBE-GGA was carried out for a relaxed SmY4Al crystal.

The structure belongs to space group C2/c (No. 15); the cell edges are 8.895, 13.906 and 6.235 Å and the angles 90.00°, 109.35° and 90.00°. Symmetry generates all atoms from Sm at (0.000, 0.103, 0.250), Y at (0.102, 0.318, 0.552), Y at (0.219, 0.106, 0.867) and Al at (0.000, 0.499, 0.750).

The calculation puts the mass density at 4.86 g/cm³. The density of states at the Fermi level comes out at 35.3 states/eV/cell.



Short version: model one is the most stable of them.



Model one:
A plane-wave DFT calculation with PBE-GGA was carried out for a relaxed Sm2Y8Al crystal.

The structure belongs to space group C2/m (No. 12); the cell edges are 12.199, 10.853 and 6.001 Å and the angles 90.00°, 106.36° and 90.00°. Symmetry generates all atoms from Sm at (0.132, 0.000, 0.494), Y at (0.080, 0.500, 0.284), Y at (0.089, 0.238, 0.812), Y at (0.238, 0.500, 0.892) and Al at (0.000, 0.000, 0.000).

The calculation puts the mass density at 4.53 g/cm³. The density of states at the Fermi level comes out at 28.1 states/eV/cell.



Model two:
A plane-wave DFT calculation with PBE-GGA was carried out for a relaxed Sm2Y8Al crystal.

The structure belongs to space group C2/m (No. 12); the cell edges are 19.325, 5.512 and 6.487 Å and the angles 90.00°, 94.08° and 90.00°. Symmetry generates all atoms from Sm at (0.242, 0.000, 0.335), Y at (0.042, 0.000, 0.253), Y at (0.077, 0.500, 0.606), Y at (0.154, 0.000, 0.813), Y at (0.157, 0.500, 0.124) and Al at (0.000, 0.500, 0.000).

The calculation puts the mass density at 5.01 g/cm³. The density of states at the Fermi level comes out at 31.2 states/eV/cell.



Short version: model two is the most stable of them.